No. 1
A plane-wave DFT calculation with PBE was carried out for a relaxed AlMoPb3 crystal.

## Properties
- Relative energy among the computed polymorphs: 0.470 eV per atom
- Raw total energy: -20.0 eV for the cell shown

```
AlMoPb3
1.0
5.3683 0.0000 0.0000
0.0000 5.3683 0.0000
0.0000 0.0000 5.3683
Al Mo Pb
1 1 3
direct
0.0000 0.0000 0.0000 Al
0.5000 0.5000 0.5000 Mo
0.0000 0.5000 0.0000 Pb
0.0000 0.0000 0.5000 Pb
0.5000 0.0000 0.0000 Pb
```

***

No. 2
A plane-wave DFT calculation with PBE was carried out for a relaxed Pu2SbP crystal.

## Properties
- Formation energy without anion corrections: -82 kJ/mol of atoms
- Raw total energy: -41.6 eV for the cell shown

```
Pu2SbP
1.0
-3.4883 -1.6220 -1.6160
-0.0525 -1.3062 -3.9625
0.8199 -7.3419 0.2124
Pu Sb P
2 1 1
direct
0.7605 0.7605 0.7186 Pu
0.2395 0.2395 0.2814 Pu
0.0000 0.0000 0.0000 Sb
0.5000 0.5000 0.5000 P
```

***

No. 3
A plane-wave DFT calculation with PBE was carried out for a relaxed Sm4Te2IrSe crystal.

## Properties
- Formation energy without anion corrections: -130 kJ/mol of atoms
- Raw total energy: -48.3 eV for the cell shown

```
Sm4Te2IrSe
1.0
-3.4978 2.2930 -0.5879
-3.0986 -5.7030 -3.8080
-1.7660 -0.7956 7.4034
Sm Te Se Ir
4 2 1 1
direct
0.5000 0.2541 0.2209 Sm
0.5000 0.7459 0.7791 Sm
0.0000 0.2799 0.7908 Sm
0.0000 0.7201 0.2092 Sm
0.5000 0.0000 0.5000 Te
0.0000 0.5000 0.5000 Te
0.0000 0.0000 0.0000 Se
0.5000 0.5000 0.0000 Ir
```

***

No. 4
A plane-wave DFT calculation with PBE was carried out for a relaxed NiAs2Pb crystal.

## Properties
- Raw total energy: -16.9 eV for the cell shown

```
NiAs2Pb
1.0
-4.7362 0.3718 -0.8104
-3.1349 -1.9612 3.0908
-2.7098 2.8309 2.8053
Ni As Pb
1 2 1
direct
0.5000 0.5000 0.5000 Ni
0.2500 0.2500 0.2500 As
0.0000 0.0000 0.0000 As
0.7500 0.7500 0.7500 Pb
```

***

No. 5
A plane-wave DFT calculation with PBE was carried out for a relaxed Nd4SmCu5 crystal.

## Properties
- Raw total energy: -45.8 eV for the cell shown

```
Nd4SmCu5
1.0
-1.1456 2.6247 -2.1269
-3.1999 -0.1230 1.5718
5.4897 12.2277 12.1329
Cu Nd Sm
5 4 1
direct
0.5000 0.5000 0.2989 Cu
0.5000 0.5000 0.0957 Cu
0.5000 0.5000 0.9043 Cu
0.5000 0.5000 0.7011 Cu
0.5000 0.5000 0.5000 Cu
0.0000 0.0000 0.3995 Nd
0.0000 0.0000 0.1983 Nd
0.0000 0.0000 0.6005 Nd
0.0000 0.0000 0.8017 Nd
0.0000 0.0000 0.0000 Sm
```

***

No. 6
A plane-wave DFT calculation with PBE was carried out for a relaxed MgSnPtAu2 crystal.

## Properties
- Raw total energy: -16.3 eV for the cell shown

```
MgSnPtAu2
1.0
-2.9734 1.1374 -4.0111
2.8650 -2.9093 -2.9488
-2.9828 -4.0225 1.0706
Mg Au Pt Sn
1 2 1 1
direct
0.5000 0.5000 0.5000 Mg
0.0000 0.0000 0.5000 Au
0.5000 0.0000 0.0000 Au
0.0000 0.5000 0.0000 Pt
0.0000 0.0000 0.0000 Sn
```

***

No. 7
A plane-wave DFT calculation with PBE was carried out for a relaxed Ca2CoSi crystal.

## Properties
- Formation energy without anion corrections: 35 kJ/mol of atoms
- Raw total energy: -15.1 eV for the cell shown

```
Ca2CoSi
1.0
8.9389 -0.0321 -0.0190
8.2650 3.4052 -0.0190
8.2650 1.6205 2.9949
Co Si Ca
1 1 2
direct
0.2500 0.2500 0.2500 Co
0.7500 0.7500 0.7500 Si
0.9954 0.9954 0.9954 Ca
0.5046 0.5046 0.5046 Ca
```

***

No. 8
A plane-wave DFT calculation with PBE was carried out for a relaxed FePb crystal.

## Properties
- Raw total energy: -88.9 eV for the cell shown

```
FePb
1.0
5.5367 0.0000 0.0000
0.0000 6.1467 0.0000
0.0000 0.0000 9.9325
Pb Fe
8 8
direct
0.6304 0.3721 0.6746 Pb
0.3696 0.8721 0.8254 Pb
0.3891 0.6215 0.3849 Pb
0.6109 0.1215 0.1151 Pb
0.8696 0.6279 0.1746 Pb
0.1109 0.3785 0.8849 Pb
0.8891 0.8785 0.6151 Pb
0.1304 0.1279 0.3254 Pb
0.8581 0.8032 0.9152 Fe
0.1151 0.0173 0.0555 Fe
0.8849 0.5173 0.4445 Fe
0.3849 0.9827 0.5555 Fe
0.6151 0.4827 0.9445 Fe
0.6419 0.1968 0.4152 Fe
0.1419 0.3032 0.5848 Fe
0.3581 0.6968 0.0848 Fe
```

***

No. 9
A plane-wave DFT calculation with PBE was carried out for a relaxed In2Sn5Pb12 crystal.

## Properties
- Relative energy among the computed polymorphs: 0.016 eV per atom
- Raw total energy: -68.5 eV for the cell shown

```
In2Sn5Pb12
1.0
7.0145 0.0000 0.0000
-3.5072 9.5935 2.9741
0.0000 0.0533 8.8775
In Pb Sn
2 12 5
direct
0.7459 0.0000 0.0000 In
0.2541 0.0000 0.0000 In
0.3619 0.2074 0.6324 Pb
0.5103 0.5525 0.7966 Pb
0.5603 0.1206 0.3196 Pb
0.0957 0.1914 0.1530 Pb
0.4397 0.8794 0.6804 Pb
0.9043 0.8086 0.8470 Pb
0.6381 0.7926 0.3676 Pb
0.4897 0.4475 0.2034 Pb
0.9578 0.4475 0.2034 Pb
0.8455 0.2074 0.6324 Pb
0.0422 0.5525 0.7966 Pb
0.1545 0.7926 0.3676 Pb
0.2460 0.4920 0.4936 Sn
0.7540 0.5080 0.5064 Sn
0.6389 0.2778 0.9393 Sn
0.0000 0.0000 0.5000 Sn
0.3611 0.7222 0.0607 Sn
```

***

No. 10
A plane-wave DFT calculation with PBE was carried out for a relaxed AlFe2Te crystal.

## Properties
- Relative energy among the computed polymorphs: 0.013 eV per atom
- Formation energy without anion corrections: 13 kJ/mol of atoms
- Raw total energy: -23.3 eV for the cell shown

```
AlFe2Te
1.0
3.3925 0.0000 0.0000
0.0000 3.3925 0.0000
0.0000 0.0000 5.3825
Fe Al Te
2 1 1
direct
0.0000 0.0000 0.9780 Fe
0.5000 0.5000 0.2507 Fe
0.5000 0.5000 0.7954 Al
0.0000 0.0000 0.4758 Te
```

***

What did the fifth record say?
A plane-wave DFT calculation with PBE was carried out for a relaxed Nd4SmCu5 crystal.

## Properties
- Raw total energy: -45.8 eV for the cell shown

```
Nd4SmCu5
1.0
-1.1456 2.6247 -2.1269
-3.1999 -0.1230 1.5718
5.4897 12.2277 12.1329
Cu Nd Sm
5 4 1
direct
0.5000 0.5000 0.2989 Cu
0.5000 0.5000 0.0957 Cu
0.5000 0.5000 0.9043 Cu
0.5000 0.5000 0.7011 Cu
0.5000 0.5000 0.5000 Cu
0.0000 0.0000 0.3995 Nd
0.0000 0.0000 0.1983 Nd
0.0000 0.0000 0.6005 Nd
0.0000 0.0000 0.8017 Nd
0.0000 0.0000 0.0000 Sm
```